Record 1
This record from Alexandria describes an optimized crystal structure of Sm2UBeRh6. The functional is PBE.

Cell lengths 6.4616, 6.4616, 6.4616 Å; angles 60.00, 60.00, 90.00 degrees
With the nearest neighbours (Å) after each atom.
Fractional coordinates of all 10 atoms:
Sm 0.2500 0.7500 0.5000  12 Rh 3.23
Sm 0.7500 0.2500 0.5000  12 Rh 3.23
U 0.5000 0.5000 0.0000  6 Rh 2.44
Be 0.0000 0.0000 0.0000  6 Rh 2.13
Rh 0.2331 0.7669 0.0000  1 Be 2.13
Rh 0.7669 0.7669 0.0000  1 Be 2.13
Rh 0.2331 0.2331 0.5338  1 Be 2.13
Rh 0.7669 0.2331 0.0000  1 Be 2.13
Rh 0.2331 0.2331 0.0000  1 Be 2.13
Rh 0.7669 0.7669 0.4662  1 Be 2.13

Summary:
The calculation puts the size of the total moment at 0.0 Bohr magnetons per cell. Its formation energy is -0.408 eV/atom. As for the raw total energy: -72.64 eV/cell. Its density of states at the Fermi level is 4.71 states/eV/cell. The crystal system is cubic.

Record 2
This record from Alexandria describes an optimized crystal structure of CaScF5. The functional is PBE.

Cell lengths 5.7302, 5.7302, 7.9176 Å; angles 69.85, 69.85, 71.83 degrees
With the nearest neighbours (Å) after each atom.
Fractional coordinates of all 14 atoms:
Ca 0.5403 0.4597 0.2500  5 F 2.22-2.48
Ca 0.4597 0.5403 0.7500  5 F 2.22-2.48
Sc 0.0000 0.0000 0.0000  6 F 1.99-2.07
Sc 0.0000 0.0000 0.5000  6 F 1.99-2.07
F 0.7875 0.7404 0.1219  1 Sc 1.99, 1 Ca 2.22
F 0.2878 0.6880 0.4664  1 Sc 2.04
F 0.7404 0.7875 0.6219  1 Sc 1.99, 1 Ca 2.22
F 0.9099 0.0901 0.2500  2 Sc 2.07
F 0.3120 0.7122 0.0336  1 Sc 2.04
F 0.6880 0.2878 0.9664  1 Sc 2.04
F 0.0901 0.9099 0.7500  2 Sc 2.07
F 0.2596 0.2125 0.3781  1 Sc 1.99, 1 Ca 2.22
F 0.7122 0.3120 0.5336  1 Sc 2.04
F 0.2125 0.2596 0.8781  1 Sc 1.99, 1 Ca 2.22

Summary:
The calculation puts the size of the total moment at 0.0 Bohr magnetons per cell. The value obtained for the energy relative to the elements, uncorrected is -3943.1 meV per atom. As for the raw total energy: -90.58 eV/cell. Its density of states at the Fermi level is 0.00 states/eV/cell. The crystal system is monoclinic.

Record 3
This record from Alexandria describes an optimized crystal structure of LaNi. The functional is PBE.

Cell lengths 10.3079, 10.3079, 3.9747 Å; angles 90.00, 90.00, 90.00 degrees
With the nearest neighbours (Å) after each atom.
Fractional coordinates of all 16 atoms:
La 0.7631 0.5000 0.0000  6 Ni 2.96-3.06
La 0.2369 0.5000 0.0000  6 Ni 2.96-3.06
La 0.5000 0.2369 0.0000  6 Ni 2.96-3.06
La 0.5000 0.7631 0.0000  6 Ni 2.96-3.06
La 0.2631 0.0000 0.5000  6 Ni 2.96-3.06
La 0.7369 0.0000 0.5000  6 Ni 2.96-3.06
La 0.0000 0.7369 0.5000  6 Ni 2.96-3.06
La 0.0000 0.2631 0.5000  6 Ni 2.96-3.06
Ni 0.2051 0.2051 0.0000  2 Ni 2.38
Ni 0.2051 0.7949 0.0000  2 Ni 2.38
Ni 0.7949 0.2051 0.0000  2 Ni 2.38
Ni 0.7949 0.7949 0.0000  2 Ni 2.38
Ni 0.7051 0.7051 0.5000  2 Ni 2.38
Ni 0.7051 0.2949 0.5000  2 Ni 2.38
Ni 0.2949 0.7051 0.5000  2 Ni 2.38
Ni 0.2949 0.2949 0.5000  2 Ni 2.38

Summary:
The calculation puts the size of the total moment at 0.0 Bohr magnetons per cell. Its formation energy is -0.173 eV/atom. As for the raw total energy: -88.44 eV/cell. Its density of states at the Fermi level is 8.89 states/eV/cell. The crystal system is tetragonal.

Record 4
This record from Alexandria describes an optimized crystal structure of AcDyHo6. The functional is PBE.

Cell lengths 5.0682, 5.0682, 10.1323 Å; angles 90.00, 90.00, 90.00 degrees
With the nearest neighbours (Å) after each atom.
Fractional coordinates of all 8 atoms:
Ac 0.0000 0.0000 0.0000  12 Ho 3.58-3.65
Dy 0.0000 0.0000 0.5000  12 Ho 3.52-3.58
Ho 0.5000 0.5000 0.0000  4 Ac 3.58, 8 Ho 3.65
Ho 0.5000 0.5000 0.5000  8 Ho 3.52, 4 Dy 3.58
Ho 0.5000 0.0000 0.2587  2 Dy 3.52, 8 Ho 3.52-3.65, 2 Ac 3.65
Ho 0.5000 0.0000 0.7413  2 Dy 3.52, 8 Ho 3.52-3.65, 2 Ac 3.65
Ho 0.0000 0.5000 0.2587  2 Dy 3.52, 8 Ho 3.52-3.65, 2 Ac 3.65
Ho 0.0000 0.5000 0.7413  2 Dy 3.52, 8 Ho 3.52-3.65, 2 Ac 3.65

Summary:
The calculation puts the size of the total moment at 0.0 Bohr magnetons per cell. Its formation energy is 0.046 eV/atom. As for the raw total energy: -35.81 eV/cell. Its density of states at the Fermi level is 11.30 states/eV/cell. The crystal system is tetragonal.